(1)
First-principles (PBEsol) data for a relaxed structure of La2HgPt, as listed in the Alexandria database.

Summary:
**Energy**: -5.305 eV per atom
**DOS at the Fermi energy**: 0.6164 states/eV per atom
**Total magnetic moment**: 0.001 μB per cell

Geometry as CIF:
```
data_La2HgPt
_chemical_formula_sum 'La6 Hg3 Pt3'
_space_group_name_H-M_alt 'R -3 m'
_space_group_IT_number 166
_space_group_name_Hall '-R 3 2"'
_cell_length_a 4.1298
_cell_length_b 4.1298
_cell_length_c 23.6752
_cell_angle_alpha 90.00
_cell_angle_beta 90.00
_cell_angle_gamma 120.00
loop_
_atom_site_label
_atom_site_fract_x
_atom_site_fract_y
_atom_site_fract_z
_atom_site_occupancy
La1 0.0000 0.0000 0.2372 1
Hg1 0.0000 0.0000 0.0000 1
Pt1 0.0000 0.0000 0.5000 1
```


(2)
First-principles (PBEsol) data for a relaxed structure of LaHgPt, as listed in the Alexandria database.

Summary:
**Energy**: -5.036 eV per atom
**DOS at the Fermi energy**: 0.6373 states/eV per atom
**Total magnetic moment**: 0.000 μB per cell

Geometry as CIF:
```
data_LaHgPt
_chemical_formula_sum 'La4 Hg4 Pt4'
_space_group_name_H-M_alt 'F -4 3 m'
_space_group_IT_number 216
_space_group_name_Hall 'F -4 2 3'
_cell_length_a 6.777
_cell_length_b 6.777
_cell_length_c 6.777
_cell_angle_alpha 90.00
_cell_angle_beta 90.00
_cell_angle_gamma 90.00
loop_
_atom_site_label
_atom_site_fract_x
_atom_site_fract_y
_atom_site_fract_z
_atom_site_occupancy
La1 0.000 0.000 0.000 1
Hg1 0.000 0.000 0.500 1
Pt1 0.250 0.250 0.750 1
```